Record 1
Computed, not measured: CaMoSe2 at its PBEsol-relaxed geometry at the meta-GGA SCAN level of DFT.

Its formation energy (no corrections) is -754 meV/atom. The calculation puts the final energy at -21.93 eV/atom. As for the density of states at the Fermi level: 3.19 states/eV per cell. The calculation puts the spin magnetization at 0.000 μB/atom. The calculation puts the polymorph energy (0 for the lowest one) at 0.0 meV/atom.

It has space group Imm2 (No. 44), with a = 3.3736 Å, b = 3.5564 Å, c = 13.0959 Å, α = 90.00°, β = 90.00° and γ = 90.00°. The distinct sites, in fractional coordinates, are Ca at (0.0000, 0.0000, 0.0000), Mo at (0.0000, 0.5000, 0.7503), Se at (0.0000, 0.0000, 0.3940) and Se at (0.0000, 0.5000, 0.1710).

---

Record 2
Computed, not measured: SrAl2 at its PBEsol-relaxed geometry at the meta-GGA SCAN level of DFT.

The calculation puts the final energy at -12.86 eV/atom. As for the density of states at the Fermi level: 12.47 states/eV per cell. The calculation puts the formation energy at -6.11 kcal/mol of atoms. The calculation puts the spin magnetization at 0.000 μB/atom.

It has space group Fd-3m (No. 227, origin choice 2), with a = 8.1979 Å, b = 8.1979 Å, c = 8.1979 Å, α = 90.00°, β = 90.00° and γ = 90.00°. The distinct sites, in fractional coordinates, are Sr at (0.1250, 0.1250, 0.1250) and Al at (0.0000, 0.0000, 0.5000).

---

Record 3
Computed, not measured: ZnSb2TeP at its PBEsol-relaxed geometry at the meta-GGA SCAN level of DFT.

Its formation energy (no corrections) is 745 meV/atom. The calculation puts the final energy at -26.39 eV/atom. As for the density of states at the Fermi level: 3.83 states/eV per cell. The calculation puts the spin magnetization at 0.000 μB/atom. The calculation puts the polymorph energy (0 for the lowest one) at 0.0 meV/atom.

It has space group P4/mmm (No. 123), with a = 5.1922 Å, b = 5.1922 Å, c = 5.0921 Å, α = 90.00°, β = 90.00° and γ = 90.00°. The distinct sites, in fractional coordinates, are Zn at (0.0000, 0.0000, 0.0000), Sb at (0.0000, 0.5000, 0.5000), Te at (0.5000, 0.5000, 0.0000) and P at (0.5000, 0.5000, 0.5000).

---

Record 4
Computed, not measured: CuBiP2Se6 at its PBEsol-relaxed geometry at the meta-GGA SCAN level of DFT.

Its formation energy (no corrections) is -179 meV/atom. The calculation puts the final energy at -23.68 eV/atom. The calculation puts the spin magnetization at 0.000 μB/atom. The calculation puts the polymorph energy (0 for the lowest one) at 0.0 meV/atom.

It has space group R-3 (No. 148, hexagonal axes), with a = 6.5052 Å, b = 6.5052 Å, c = 80.0841 Å, α = 90.00°, β = 90.00° and γ = 120.00°. The distinct sites, in fractional coordinates, are Cu at (0.0000, 0.0000, 0.0435), Cu at (0.0000, 0.0000, 0.1407), Bi at (0.0000, 0.0000, 0.2924), Bi at (0.0000, 0.0000, 0.4542), P at (0.0000, 0.0000, 0.1955), P at (0.0000, 0.0000, 0.2238), P at (0.0000, 0.0000, 0.3604), P at (0.0000, 0.0000, 0.3886), Se at (0.0006, 0.3521, 0.8529), Se at (0.0086, 0.6422, 0.7297), Se at (0.0182, 0.3842, 0.6868) and Se at (0.0222, 0.6229, 0.5637).

---

Record 5
Computed, not measured: Tl2Te at its PBEsol-relaxed geometry at the meta-GGA SCAN level of DFT.

Its formation energy (no corrections) is -178 meV/atom. The calculation puts the final energy at -60.83 eV/atom. The calculation puts the spin magnetization at 0.000 μB/atom. The calculation puts the polymorph energy (0 for the lowest one) at 117.3 meV/atom.

It has space group Fd-3m (No. 227, origin choice 2), with a = 15.0964 Å, b = 15.0964 Å, c = 15.0964 Å, α = 90.00°, β = 90.00° and γ = 90.00°. The distinct sites, in fractional coordinates, are Tl at (0.0000, 0.0000, 0.0000), Tl at (0.1052, 0.3750, 0.8750) and Te at (0.0158, 0.0158, 0.2342).

---

Record 6
Computed, not measured: AgSnF6 at its PBEsol-relaxed geometry at the meta-GGA SCAN level of DFT.

Its formation energy (no corrections) is -2070 meV/atom. The calculation puts the final energy at -13.14 eV/atom. The calculation puts the spin magnetization at 0.125 μB/atom.

It has space group P-1 (No. 2), with a = 5.1616 Å, b = 5.2431 Å, c = 5.6325 Å, α = 64.82°, β = 89.27° and γ = 61.16°. The distinct sites, in fractional coordinates, are Ag at (0.0000, 0.0000, 0.0000), Sn at (0.5000, 0.0000, 0.5000), F at (0.1178, 0.1378, 0.2627), F at (0.2524, 0.1583, 0.7416) and F at (0.4306, 0.4407, 0.2773).

---

Record 7
Computed, not measured: LaHgSb at its PBEsol-relaxed geometry at the meta-GGA SCAN level of DFT.

Its formation energy (no corrections) is -933 meV/atom. The calculation puts the final energy at -50.44 eV/atom. As for the density of states at the Fermi level: 0.07 states/eV per cell. The calculation puts the spin magnetization at 0.000 μB/atom. The calculation puts the polymorph energy (0 for the lowest one) at 0.0 meV/atom.

It has space group P3m1 (No. 156), with a = 4.7201 Å, b = 4.7201 Å, c = 4.4287 Å, α = 90.00°, β = 90.00° and γ = 120.00°. The distinct sites, in fractional coordinates, are La at (0.0000, 0.0000, 0.0000), Hg at (0.6667, 0.3333, 0.3229) and Sb at (0.3333, 0.6667, 0.5764).

---

Record 8
Computed, not measured: CeAs2Au at its PBEsol-relaxed geometry at the meta-GGA SCAN level of DFT.

The calculation puts the final energy at -39.41 eV/atom. As for the density of states at the Fermi level: 6.27 states/eV per cell. The calculation puts the formation energy at -20.49 kcal/mol of atoms. The calculation puts the spin magnetization at 0.134 μB/atom.

It has space group P4/nmm (No. 129, origin choice 2), with a = 4.0674 Å, b = 4.0674 Å, c = 9.7268 Å, α = 90.00°, β = 90.00° and γ = 90.00°. The distinct sites, in fractional coordinates, are Ce at (0.2500, 0.2500, 0.2298), As at (0.2500, 0.2500, 0.6925), As at (0.2500, 0.7500, 0.0000) and Au at (0.2500, 0.7500, 0.5000).